Here is a relaxed structure of NbVTe from the Alexandria database. Energies are from PBE.

Output
The density is 5.8 Mg/m³. The calculation puts the formation energy without anion corrections at 0.16 eV per atom. For the energy relative to the lowest polymorph listed for this composition, the calculation gives 0.0 meV per atom. The value obtained for the raw total energy is -7.280 eV per atom. As for the symmetry: C2/m, No. 12. As for the volume: 156.0 Å³ per cell.

Lattice parameters (Å, degrees): 3.196 5.133 14.661 43.90 83.74 71.86
Atoms (fractional coordinates):
1 Nb 0.764 0.075 0.396
2 Nb 0.236 0.925 0.604
3 V 0.485 0.438 0.591
4 V 0.515 0.562 0.409
5 Te 0.770 0.633 0.827
6 Te 0.230 0.367 0.173


Here is a relaxed structure of CrFeNiRu from the Alexandria database. Energies are from PBE.

Output
The density is 9.1 Mg/m³. The calculation puts the formation enthalpy at 0 K at 0.18 eV/atom. The value obtained for the raw total energy is -8.107 eV per atom. As for the symmetry: F-43m, No. 216. As for the volume: 48.6 Å³ per cell.

Lattice parameters (Å, degrees): 4.095 4.095 4.095 60.00 60.00 60.00
Last column: magnetic moment on the atom in μB.
Atoms (fractional coordinates):
1 Cr 0.500 0.500 0.500  -0.79
2 Ru 0.750 0.750 0.750  0.19
3 Fe 0.250 0.250 0.250  2.15
4 Ni 0.000 0.000 0.000  0.41


Here is a relaxed structure of KRbNa2 from the Alexandria database. Energies are from PBE.

Output
The density is 1.2 Mg/m³. The calculation puts the formation enthalpy at 0 K at 0.03 eV/atom. For the energy relative to the lowest polymorph listed for this composition, the calculation gives 1.6 meV per atom. The value obtained for the raw total energy is -1.146 eV per atom. As for the symmetry: C2/m, No. 12. As for the volume: 460.4 Å³ per cell.

Lattice parameters (Å, degrees): 7.116 8.414 8.414 66.54 94.19 94.19
Atoms (fractional coordinates):
1 K 0.787 0.846 0.846
2 K 0.213 0.154 0.154
3 Rb 0.767 0.373 0.373
4 Rb 0.233 0.627 0.627
5 Na 0.296 0.684 0.113
6 Na 0.704 0.887 0.316
7 Na 0.704 0.316 0.887
8 Na 0.296 0.113 0.684


Here is a relaxed structure of LaNiGe2Pd from the Alexandria database. Energies are from PBE.

Output
The density is 7.9 Mg/m³. The calculation puts the formation enthalpy at 0 K at -0.75 eV/atom. The value obtained for the raw total energy is -5.777 eV per atom. As for the symmetry: I-4m2, No. 119. As for the volume: 94.0 Å³ per cell.

Lattice parameters (Å, degrees): 4.315 4.315 5.897 111.46 111.46 90.00
Atoms (fractional coordinates):
1 La 0.000 0.000 0.000
2 Ni 0.750 0.250 0.500
3 Ge 0.628 0.628 0.256
4 Ge 0.372 0.372 0.744
5 Pd 0.250 0.750 0.500


Here is a relaxed structure of KYAs2 from the Alexandria database. Energies are from PBE.

Output
The density is 4.7 Mg/m³. The calculation puts the formation enthalpy at 0 K at -0.48 eV/atom. For the energy relative to the lowest polymorph listed for this composition, the calculation gives 328.9 meV per atom. The value obtained for the raw total energy is -4.699 eV per atom. As for the symmetry: P4/mmm, No. 123. As for the volume: 98.5 Å³ per cell.

Lattice parameters (Å, degrees): 4.939 4.939 4.038 90.00 90.00 90.00
Atoms (fractional coordinates):
1 As 0.000 0.000 0.000
2 As 0.500 0.500 0.000
3 K 0.500 0.000 0.500
4 Y 0.000 0.500 0.500


Here is a relaxed structure of Nb4Au from the Alexandria database. Energies are from PBE.

Output
The density is 7.9 Mg/m³. The calculation puts the formation enthalpy at 0 K at 1.67 eV/atom. For the energy relative to the lowest polymorph listed for this composition, the calculation gives 1707.8 meV per atom. The value obtained for the raw total energy is -7.038 eV per atom. As for the symmetry: Pm-3m, No. 221. As for the volume: 118.9 Å³ per cell.

Lattice parameters (Å, degrees): 4.918 4.918 4.918 90.00 90.00 90.00
Atoms (fractional coordinates):
1 Nb 0.000 0.000 0.000
2 Nb 0.500 0.000 0.500
3 Nb 0.000 0.500 0.500
4 Nb 0.500 0.500 0.000
5 Au 0.500 0.500 0.500


Here is a relaxed structure of Sm2HoBr from the Alexandria database. Energies are from PBE.

Output
The density is 7.4 Mg/m³. The calculation puts the formation energy without anion corrections at -0.46 eV per atom. For the energy relative to the lowest polymorph listed for this composition, the calculation gives 81.1 meV per atom. The value obtained for the raw total energy is -4.378 eV per atom. As for the symmetry: P4/mmm, No. 123. As for the volume: 121.7 Å³ per cell.

Lattice parameters (Å, degrees): 3.559 3.559 9.603 90.00 90.00 90.00
Atoms (fractional coordinates):
1 Br 0.500 0.500 0.000
2 Ho 0.500 0.500 0.500
3 Sm 0.000 0.000 0.763
4 Sm 0.000 0.000 0.237


Here is a relaxed structure of Pm2SmHoS6 from the Alexandria database. Energies are from PBE.

Output
The density is 4.9 Mg/m³. The calculation puts the formation energy without anion corrections at -2.03 eV per atom. The value obtained for the raw total energy is -6.391 eV per atom. As for the symmetry: R3, No. 146. As for the volume: 269.5 Å³ per cell.

Lattice parameters (Å, degrees): 7.064 7.064 7.453 61.70 61.71 59.99
Atoms (fractional coordinates):
1 Pm 0.521 0.521 0.437
2 Pm 0.019 0.019 0.943
3 Sm 0.814 0.814 0.558
4 Ho 0.317 0.317 0.050
5 S 0.607 0.209 0.253
6 S 0.209 0.931 0.253
7 S 0.931 0.607 0.253
8 S 0.420 0.706 0.756
9 S 0.706 0.118 0.756
10 S 0.118 0.420 0.756


Here is a relaxed structure of Tl2AgSe2 from the Alexandria database. Energies are from PBE.

Output
The density is 8.1 Mg/m³. The calculation puts the formation energy without anion corrections at -0.10 eV per atom. For the energy relative to the lowest polymorph listed for this composition, the calculation gives 115.4 meV per atom. The value obtained for the raw total energy is -3.006 eV per atom. As for the symmetry: P4/mbm, No. 127. As for the volume: 277.1 Å³ per cell.

Lattice parameters (Å, degrees): 7.533 7.533 4.883 90.00 90.00 90.00
Atoms (fractional coordinates):
1 Tl 0.149 0.649 0.500
2 Tl 0.649 0.851 0.500
3 Tl 0.851 0.351 0.500
4 Tl 0.351 0.149 0.500
5 Se 0.327 0.827 0.000
6 Se 0.827 0.673 0.000
7 Se 0.673 0.173 0.000
8 Se 0.173 0.327 0.000
9 Ag 0.000 0.000 0.000
10 Ag 0.500 0.500 0.000


Here is a relaxed structure of AcTlInSb from the Alexandria database. Energies are from PBE.

Output
The density is 8.8 Mg/m³. The calculation puts the formation energy without anion corrections at -0.33 eV per atom. The value obtained for the raw total energy is -3.668 eV per atom. As for the symmetry: F-43m, No. 216. As for the volume: 126.0 Å³ per cell.

Lattice parameters (Å, degrees): 5.627 5.627 5.627 60.00 60.00 60.00
Atoms (fractional coordinates):
1 Sb 0.500 0.500 0.500
2 Ac 0.250 0.250 0.250
3 Tl 0.000 0.000 0.000
4 In 0.750 0.750 0.750